No. 1
This record from the Alexandria database describes a geometry-optimized PmY2SeO8 structure. The functional is PBE.

Lattice parameters (Å, degrees): 4.9759 6.8657 4.9764 90.00 90.41 90.00
Last column: nearest neighbours and their distance in Å.
Space group P2/m (No. 10)
One atom of each set of equivalent atoms:
1 Pm 0.0000 0.0000 0.0000 x1  6 O 2.24-2.44
2 Y 0.5000 0.2579 0.5000 x2  6 O 2.19-2.38
3 Se 0.0000 0.5000 0.0000 x1  6 O 1.83
4 O 0.1790 0.3058 0.1780 x4  1 Se 1.83
5 O 0.2587 0.5000 0.7403 x2  1 Se 1.83
6 O 0.3157 0.0000 0.6826 x2  2 Y 2.19, 1 Pm 2.24

Output
- DOS(E_F): 0.415 states/eV per atom
- ΔE_f (raw): -2.254 eV per atom
- Electronic total energy: -7.32 eV per atom



No. 2
This record from the Alexandria database describes a geometry-optimized PmZnSe2O8 structure. The functional is PBE.

Lattice parameters (Å, degrees): 5.5684 5.5684 6.8210 90.00 90.00 120.00
Last column: nearest neighbours and their distance in Å.
Space group P-3m1 (No. 164)
One atom of each set of equivalent atoms:
1 Pm 0.0000 0.0000 0.0000 x1  6 O 2.46
2 Zn 0.0000 0.0000 0.5000 x1  6 O 2.10
3 Se 0.3333 0.6667 0.2247 x2  4 O 1.68-1.75
4 O 0.1567 0.3134 0.2853 x6  1 Se 1.75
5 O 0.3333 0.6667 0.9785 x2  1 Se 1.68

Output
- DOS(E_F): 0.115 states/eV per atom
- ΔE_f (raw): -1.240 eV per atom
- Electronic total energy: -5.63 eV per atom



No. 3
This record from the Alexandria database describes a geometry-optimized Pm3SiO structure. The functional is PBE.

Lattice parameters (Å, degrees): 9.1627 6.1489 8.7431 90.00 111.67 90.00
Last column: nearest neighbours and their distance in Å.
Space group P2_1/c (No. 14)
One atom of each set of equivalent atoms:
1 Pm 0.0643 0.0980 0.3509 x4  3 O 2.37-2.54
2 Pm 0.1921 0.5888 0.5528 x4  2 O 2.52-2.54
3 Pm 0.3753 0.1147 0.7690 x4  1 O 2.72
4 Si 0.3856 0.6181 0.9193 x4  1 Si 2.51
5 O 0.0730 0.2428 0.6080 x4  5 Pm 2.37-2.54

Output
- DOS(E_F): 0.764 states/eV per atom
- ΔE_f (raw): -1.293 eV per atom
- Electronic total energy: -6.22 eV per atom
- Energy relative to the lowest polymorph listed for this composition: 18 meV/atom



No. 4
This record from the Alexandria database describes a geometry-optimized Pm4SiO2 structure. The functional is PBE.

Lattice parameters (Å, degrees): 8.5899 8.5899 8.2097 90.00 90.00 90.00
Last column: nearest neighbours and their distance in Å.
Space group I4_1/amd (No. 141, origin choice 2)
One atom of each set of equivalent atoms:
1 Pm 0.0000 0.0697 0.2129 x16  3 O 2.43-2.66
2 Si 0.0000 0.2500 0.8750 x4  8 Pm 2.84-3.18
3 O 0.0000 0.0000 0.5000 x8  6 Pm 2.43-2.66

Output
- DOS(E_F): 0.698 states/eV per atom
- ΔE_f (raw): -1.651 eV per atom
- Electronic total energy: -6.56 eV per atom